Computed, not measured: crystalline Sm2ZnCd2 at its relaxed geometry at the PBE level of DFT.

Output
The energy above the most stable polymorph in this dataset comes out at 0.057 eV/atom. The formation energy comes out at -99 kJ/mol of formula units. Its volume is 131.5 Å³ per cell.

Cell: 3.5115 3.6161 10.5117 Å, 80.10 90.00 90.00°
Fractional coordinates of all 5 atoms:
Sm1 0.5000 0.4112 0.1776
Sm2 0.5000 0.5888 0.8224
Zn1 0.0000 0.0000 0.0000
Cd1 0.0000 0.1944 0.6113
Cd2 0.0000 0.8056 0.3887